The following is a DFT calculation (PBE-GGA) of a relaxed structure of PuThBiO2.

Calculated volume in Å³/cell: 212.8
Raw total energy in eV per atom: -9.553
Total magnetic moment in μB per formula unit: 5.2
Crystal system: tetragonal
Formation energy without anion corrections in eV per atom: -2.44

Cell: 4.038 4.038 13.047 Å, 90.00 90.00 90.00°
Space group I4mm (No. 107)
One atom of each set of equivalent atoms:
Pu 0.000 0.000 0.000
Th 0.000 0.000 0.310
Bi 0.000 0.000 0.649
O 0.000 0.500 0.398